(1)
The following is a DFT calculation (PBE) of Tb2CeDyTm after structural relaxation.

The value obtained for the theoretical density is 8.2 g/cm3. Its total magnetization is 3.24 μB/cell. The calculation puts the formation energy at 28.7 kJ/mol of atoms.

It has space group Pmma (No. 51), with a = 5.844 Å, b = 7.705 Å, c = 7.119 Å, α = 90.00°, β = 90.00° and γ = 90.00°. The distinct sites, in fractional coordinates, are Tb at (0.250, 0.207, 0.181), Ce at (0.000, 0.500, 0.500), Dy at (0.250, 0.000, 0.657) and Tm at (0.250, 0.500, 0.891).

***

(2)
The following is a DFT calculation (PBE) of AlZn after structural relaxation.

The value obtained for the theoretical density is 4.8 g/cm3. Its total magnetization is 0.00 μB/cell. The calculation puts the formation energy at 3.7 kJ/mol of atoms.

It has space group P-3m1 (No. 164), with a = 2.7861 Å, b = 2.7861 Å, c = 9.4887 Å, α = 90.00°, β = 90.00° and γ = 120.00°. The distinct sites, in fractional coordinates, are Al at (0.3333, 0.6667, 0.1304) and Zn at (0.3333, 0.6667, 0.6186).

***

(3)
The following is a DFT calculation (PBE) of Cr2ReBr after structural relaxation.

The value obtained for the theoretical density is 10.0 g/cm3. For the formation energy without anion corrections, the calculation gives 0.78 eV/atom. Its total magnetization is 1.66 μB/cell. The energy above the most stable polymorph in this dataset is 411 meV per atom.

It has space group Cm (No. 8), with a = 9.570 Å, b = 2.948 Å, c = 4.354 Å, α = 90.00°, β = 94.18° and γ = 90.00°. The distinct sites, in fractional coordinates, are Cr at (0.000, 0.000, 0.000), Cr at (0.219, 0.500, 0.229), Re at (0.276, 0.000, 0.810) and Br at (0.498, 0.000, 0.489).

***

(4)
The following is a DFT calculation (PBE) of HfScZnSn after structural relaxation.

The value obtained for the theoretical density is 8.3 g/cm3. Its total magnetization is 0.00 μB/cell. The calculation puts the formation energy at -24.3 kJ/mol of atoms.

It has space group F-43m (No. 216), with a = 6.895 Å, b = 6.895 Å, c = 6.895 Å, α = 90.00°, β = 90.00° and γ = 90.00°. The distinct sites, in fractional coordinates, are Hf at (0.000, 0.000, 0.000), Sc at (0.000, 0.000, 0.500), Zn at (0.250, 0.250, 0.250) and Sn at (0.250, 0.250, 0.750).

***

(5)
The following is a DFT calculation (PBE) of TcBiRuF2 after structural relaxation.

The value obtained for the theoretical density is 7.2 g/cm3. For the formation energy without anion corrections, the calculation gives 0.12 eV/atom. Its total magnetization is 3.42 μB/cell.

It has space group P4/mmm (No. 123), with a = 4.330 Å, b = 4.330 Å, c = 5.470 Å, α = 90.00°, β = 90.00° and γ = 90.00°. The distinct sites, in fractional coordinates, are Tc at (0.000, 0.000, 0.000), Bi at (0.500, 0.500, 0.500), Ru at (0.500, 0.500, 0.000) and F at (0.000, 0.500, 0.500).

***

(6)
The following is a DFT calculation (PBE) of V3Mo after structural relaxation.

The value obtained for the theoretical density is 7.4 g/cm3. Its total magnetization is 0.00 μB/cell. The calculation puts the formation energy at -7.2 kJ/mol of atoms. The energy above the most stable polymorph in this dataset is 4 meV per atom.

It has space group Fm-3m (No. 225), with a = 6.079 Å, b = 6.079 Å, c = 6.079 Å, α = 90.00°, β = 90.00° and γ = 90.00°. The distinct sites, in fractional coordinates, are V at (0.000, 0.000, 0.000), V at (0.250, 0.250, 0.250) and Mo at (0.000, 0.000, 0.500).